Record 1
The following is a PBE calculation of NaPrTe2 after structural relaxation, from Alexandria via LeMat-Bulk.

Computed properties:
Formation energy from raw total energies   -1329 meV/atom
M_tot   0.00 Bohr magnetons per cell

abc: 9.193 9.193 9.193
angles: 60.00 60.00 60.00
Fractional coordinates of all 16 atoms:
1 Na 0.000 0.000 0.000
2 Na 0.000 0.000 0.500
3 Na 0.000 0.500 0.000
4 Na 0.500 0.000 0.000
5 Pr 0.000 0.500 0.500
6 Pr 0.500 0.000 0.500
7 Pr 0.500 0.500 0.000
8 Pr 0.500 0.500 0.500
9 Te 0.253 0.253 0.253
10 Te 0.253 0.253 0.742
11 Te 0.253 0.742 0.253
12 Te 0.258 0.747 0.747
13 Te 0.742 0.253 0.253
14 Te 0.747 0.258 0.747
15 Te 0.747 0.747 0.258
16 Te 0.747 0.747 0.747



Record 2
The following is a PBE calculation of Na3Ge after structural relaxation, from Alexandria via LeMat-Bulk.

Computed properties:
Energy relative to the elements   56.2 meV/atom
M_tot   0.00 Bohr magnetons per cell

abc: 3.892 5.139 5.134
angles: 90.00 90.00 90.00
Fractional coordinates of all 4 atoms:
1 Na 0.000 0.000 0.000
2 Na 0.000 0.500 0.496
3 Na 0.500 0.000 0.502
4 Ge 0.500 0.500 0.996



Record 3
The following is a PBE calculation of BaSm2RuN4 after structural relaxation, from Alexandria via LeMat-Bulk.

Computed properties:
Formation energy from raw total energies   -798 meV/atom
M_tot   0.00 Bohr magnetons per cell

abc: 6.484 6.484 12.264
angles: 90.00 90.00 148.00
Fractional coordinates of all 16 atoms:
1 Ba 0.077 0.923 0.750
2 Ba 0.923 0.077 0.250
3 Sm 0.369 0.631 0.542
4 Sm 0.369 0.631 0.958
5 Sm 0.631 0.369 0.042
6 Sm 0.631 0.369 0.458
7 Ru 0.186 0.814 0.250
8 Ru 0.814 0.186 0.750
9 N 0.000 0.000 0.000
10 N 0.000 0.000 0.500
11 N 0.256 0.744 0.113
12 N 0.256 0.744 0.387
13 N 0.392 0.608 0.750
14 N 0.608 0.392 0.250
15 N 0.744 0.256 0.613
16 N 0.744 0.256 0.887



Record 4
The following is a PBE calculation of PaAl2GaNi2 after structural relaxation, from Alexandria via LeMat-Bulk.

Computed properties:
Energy relative to the elements   -109.9 meV/atom
M_tot   0.91 Bohr magnetons per cell

abc: 4.343 4.343 5.591
angles: 90.00 90.00 90.00
Fractional coordinates of all 6 atoms:
1 Pa 0.000 0.000 0.000
2 Al 0.500 0.500 0.245
3 Al 0.500 0.500 0.755
4 Ga 0.000 0.000 0.500
5 Ni 0.000 0.500 0.500
6 Ni 0.500 0.000 0.500



Record 5
The following is a PBE calculation of NaLi4Sn after structural relaxation, from Alexandria via LeMat-Bulk.

Computed properties:
Energy relative to the elements   -156.0 meV/atom
Energy above the lowest structure with this stoichiometry   0.000 eV/atom
M_tot   0.84 Bohr magnetons per cell

abc: 5.496 5.496 5.496
angles: 60.00 60.00 60.00
Fractional coordinates of all 6 atoms:
1 Na 0.000 0.000 0.000
2 Li 0.377 0.377 0.377
3 Li 0.377 0.377 0.868
4 Li 0.377 0.868 0.377
5 Li 0.868 0.377 0.377
6 Sn 0.750 0.750 0.750



Record 6
The following is a PBE calculation of PaCdAuO6 after structural relaxation, from Alexandria via LeMat-Bulk.

Computed properties:
Formation energy from raw total energies   -1471 meV/atom
M_tot   0.00 Bohr magnetons per cell

abc: 5.486 5.486 4.736
angles: 90.00 90.00 120.00
Fractional coordinates of all 9 atoms:
1 Pa 0.000 0.000 0.000
2 Cd 0.333 0.667 0.500
3 Au 0.667 0.333 0.500
4 O 0.348 0.033 0.743
5 O 0.348 0.315 0.257
6 O 0.685 0.033 0.257
7 O 0.685 0.652 0.743
8 O 0.967 0.315 0.743
9 O 0.967 0.652 0.257



Record 7
The following is a PBE calculation of CsRb2TlHg after structural relaxation, from Alexandria via LeMat-Bulk.

Computed properties:
Energy relative to the elements   -38.0 meV/atom
Energy above the lowest structure with this stoichiometry   0.000 eV/atom
M_tot   0.00 Bohr magnetons per cell

abc: 7.189 7.189 5.904
angles: 90.00 90.00 90.00
Fractional coordinates of all 5 atoms:
1 Cs 0.000 0.000 0.000
2 Rb 0.000 0.500 0.500
3 Rb 0.500 0.000 0.500
4 Tl 0.500 0.500 0.000
5 Hg 0.500 0.500 0.500



Record 8
The following is a PBE calculation of AsIrSe2 after structural relaxation, from Alexandria via LeMat-Bulk.

Computed properties:
Formation energy from raw total energies   -73 meV/atom
M_tot   0.00 Bohr magnetons per cell

abc: 4.680 4.680 6.988
angles: 109.96 109.96 46.40
Fractional coordinates of all 4 atoms:
1 As 0.000 0.000 0.000
2 Ir 0.707 0.707 0.001
3 Se 0.116 0.116 0.724
4 Se 0.282 0.282 0.278



Record 9
The following is a PBE calculation of Ca3SnN3 after structural relaxation, from Alexandria via LeMat-Bulk.

Computed properties:
Formation energy from raw total energies   -497 meV/atom
Energy above the lowest structure with this stoichiometry   0.076 eV/atom
M_tot   2.78 Bohr magnetons per cell

abc: 10.122 3.464 13.090
angles: 90.00 90.00 90.00
Fractional coordinates of all 28 atoms:
1 Ca 0.060 0.250 0.094
2 Ca 0.162 0.750 0.515
3 Ca 0.233 0.750 0.807
4 Ca 0.267 0.250 0.307
5 Ca 0.338 0.250 0.015
6 Ca 0.440 0.750 0.594
7 Ca 0.560 0.250 0.406
8 Ca 0.662 0.750 0.985
9 Ca 0.733 0.750 0.693
10 Ca 0.767 0.250 0.193
11 Ca 0.838 0.250 0.485
12 Ca 0.940 0.750 0.906
13 Sn 0.026 0.250 0.688
14 Sn 0.474 0.750 0.188
15 Sn 0.526 0.250 0.812
16 Sn 0.974 0.750 0.312
17 N 0.057 0.250 0.396
18 N 0.114 0.250 0.908
19 N 0.228 0.250 0.644
20 N 0.272 0.750 0.144
21 N 0.386 0.750 0.408
22 N 0.443 0.750 0.896
23 N 0.557 0.250 0.104
24 N 0.614 0.250 0.592
25 N 0.728 0.250 0.856
26 N 0.772 0.750 0.356
27 N 0.886 0.750 0.092
28 N 0.943 0.750 0.604



Record 10
The following is a PBE calculation of Ac3InPb3 after structural relaxation, from Alexandria via LeMat-Bulk.

Computed properties:
Energy relative to the elements   -488.3 meV/atom
Energy above the lowest structure with this stoichiometry   0.000 eV/atom
M_tot   0.00 Bohr magnetons per cell

abc: 6.806 6.806 16.478
angles: 104.49 104.49 42.49
Fractional coordinates of all 14 atoms:
1 Ac 0.021 0.021 0.378
2 Ac 0.100 0.100 0.922
3 Ac 0.235 0.235 0.226
4 Ac 0.765 0.765 0.774
5 Ac 0.900 0.900 0.078
6 Ac 0.979 0.979 0.622
7 In 0.265 0.265 0.625
8 In 0.735 0.735 0.375
9 Pb 0.363 0.363 0.462
10 Pb 0.373 0.373 0.924
11 Pb 0.491 0.491 0.774
12 Pb 0.509 0.509 0.226
13 Pb 0.627 0.627 0.076
14 Pb 0.637 0.637 0.538



Record 11
The following is a PBE calculation of LiAu after structural relaxation, from Alexandria via LeMat-Bulk.

Computed properties:
Energy relative to the elements   -357.3 meV/atom
M_tot   0.00 Bohr magnetons per cell

abc: 4.663 4.663 7.823
angles: 90.00 90.00 120.00
Fractional coordinates of all 8 atoms:
1 Li 0.333 0.667 0.088
2 Li 0.333 0.667 0.412
3 Li 0.667 0.333 0.588
4 Li 0.667 0.333 0.912
5 Au 0.000 0.000 0.250
6 Au 0.000 0.000 0.750
7 Au 0.333 0.667 0.750
8 Au 0.667 0.333 0.250



Record 12
The following is a PBE calculation of CdNi2Pd after structural relaxation, from Alexandria via LeMat-Bulk.

Computed properties:
Energy relative to the elements   29.3 meV/atom
M_tot   1.14 Bohr magnetons per cell

abc: 3.871 3.871 3.813
angles: 90.00 90.00 90.00
Fractional coordinates of all 4 atoms:
1 Cd 0.000 0.000 0.000
2 Ni 0.000 0.500 0.500
3 Ni 0.500 0.000 0.500
4 Pd 0.500 0.500 0.000



Number 1: uncorrected energy -4.42 eV/atom. Number 2: uncorrected energy -2.09 eV/atom. Number 3: uncorrected energy -7.54 eV/atom. Number 4: uncorrected energy -5.37 eV/atom. Number 5: uncorrected energy -2.32 eV/atom. Number 6: uncorrected energy -6.30 eV/atom. Number 7: uncorrected energy -1.13 eV/atom. Number 8: uncorrected energy -5.19 eV/atom. Number 9: uncorrected energy -5.49 eV/atom. Number 10: uncorrected energy -4.23 eV/atom. Number 11: uncorrected energy -2.95 eV/atom. Number 12: uncorrected energy -4.39 eV/atom.